# Zr2As3S | the Alexandria database | meta-GGA SCAN | PBEsol geometry
# ΔE_f (raw)	-6.78	eV per formula unit
# uncorrected energy	-23.064	eV/atom
# volume	18.30	Å³/atom
# crystal system	tetragonal
data_Zr2As3S
_chemical_formula_sum 'Zr2 As3 S1'
_cell_length_a 3.7230
_cell_length_b 3.7230
_cell_length_c 7.9213
_cell_angle_alpha 90.00
_cell_angle_beta 90.00
_cell_angle_gamma 90.00
_symmetry_space_group_name_H-M 'P 4 m m'
_symmetry_Int_Tables_number 99
_symmetry_space_group_name_Hall 'P 4 -2'
loop_
_atom_site_label
_atom_site_fract_x
_atom_site_fract_y
_atom_site_fract_z
_atom_site_occupancy
Zr1 0.0000 0.0000 0.0000 1
Zr2 0.5000 0.5000 0.4557 1
As1 0.0000 0.5000 0.7269 1
As2 0.5000 0.5000 0.1071 1
S1 0.0000 0.0000 0.3529 1